No. 1
Material: PmSn2Pt
Method: DFT, PBE
State: optimized geometry

Density of states at the Fermi level: 0.805 states/eV/atom
DFT total energy: -4.86 eV per atom
V: 27.6 A^3/atom
ΔH_f (0 K): -160 meV per atom
M_tot: 0.000 μB per atom

Lattice parameters (Å, degrees): 3.5601 3.5601 30.2227 90.00 90.00 120.00
Space group R-3m (No. 166, hexagonal axes)
Inequivalent atoms, fractional coordinates:
Pm1 0.0000 0.0000 0.0000 [3 per cell]
Sn1 0.0000 0.0000 0.1059 [6 per cell]
Pt1 0.0000 0.0000 0.5000 [3 per cell]

No. 2
Material: Pm5SnPt2
Method: DFT, PBE
State: optimized geometry

Density of states at the Fermi level: 0.908 states/eV/atom
DFT total energy: -5.83 eV per atom
V: 27.8 A^3/atom
ΔH_f (0 K): -846 meV per atom
M_tot: 0.000 μB per atom

Lattice parameters (Å, degrees): 8.0420 8.0420 13.7514 90.00 90.00 90.00
Space group I4/mcm (No. 140)
Inequivalent atoms, fractional coordinates:
Pm1 0.0000 0.0000 0.0000 [4 per cell]
Pm2 0.1598 0.3402 0.1387 [16 per cell]
Sn1 0.0000 0.0000 0.2500 [4 per cell]
Pt1 0.1347 0.3653 0.5000 [8 per cell]

No. 3
Material: Pm3Sn4Pt3
Method: DFT, PBE
State: optimized geometry

Density of states at the Fermi level: 0.862 states/eV/atom
DFT total energy: -5.74 eV per atom
V: 24.6 A^3/atom
ΔH_f (0 K): -897 meV per atom
M_tot: 0.000 μB per atom

Lattice parameters (Å, degrees): 9.9502 9.9502 9.9502 90.00 90.00 90.00
Space group I-43d (No. 220)
Inequivalent atoms, fractional coordinates:
Pm1 0.0000 0.2500 0.3750 [12 per cell]
Sn1 0.0806 0.0806 0.0806 [16 per cell]
Pt1 0.0000 0.2500 0.8750 [12 per cell]

No. 4
Material: Pm12Sn6Pt
Method: DFT, PBE
State: optimized geometry

Density of states at the Fermi level: 1.158 states/eV/atom
DFT total energy: -5.06 eV per atom
V: 35.2 A^3/atom
ΔH_f (0 K): -474 meV per atom
M_tot: 0.000 μB per atom

Lattice parameters (Å, degrees): 13.5496 13.5496 12.6143 90.00 90.00 120.00
Space group R-3 (No. 148, hexagonal axes)
Inequivalent atoms, fractional coordinates:
Pm1 0.0324 0.2018 0.3947 [18 per cell]
Pm2 0.0599 0.2015 0.8831 [18 per cell]
Sn1 0.0467 0.2782 0.6447 [18 per cell]
Pt1 0.0000 0.0000 0.0000 [3 per cell]

No. 5
Material: Pm5Sn2Pt2
Method: DFT, PBE
State: optimized geometry

Density of states at the Fermi level: 0.732 states/eV/atom
DFT total energy: -5.71 eV per atom
V: 28.4 A^3/atom
ΔH_f (0 K): -840 meV per atom
M_tot: 0.000 μB per atom

Lattice parameters (Å, degrees): 15.6958 8.5300 7.6324 90.00 90.00 90.00
Space group Cmce (No. 64)
Inequivalent atoms, fractional coordinates:
Pm1 0.0000 0.0000 0.0000 [4 per cell]
Pm2 0.1240 0.1785 0.3447 [16 per cell]
Sn1 0.2110 0.0000 0.0000 [8 per cell]
Pt1 0.0000 0.1239 0.6344 [8 per cell]

No. 6
Material: PmSnPt4
Method: DFT, PBE
State: optimized geometry

Density of states at the Fermi level: 0.353 states/eV/atom
DFT total energy: -6.25 eV per atom
V: 19.3 A^3/atom
ΔH_f (0 K): -768 meV per atom
M_tot: 0.000 μB per atom

Lattice parameters (Å, degrees): 4.2457 18.8326 5.8049 90.00 90.00 90.00
Space group Cmcm (No. 63)
Inequivalent atoms, fractional coordinates:
Pm1 0.0000 0.0824 0.2500 [4 per cell]
Sn1 0.0000 0.2265 0.7500 [4 per cell]
Pt1 0.0000 0.0757 0.7500 [4 per cell]
Pt2 0.0000 0.3426 0.0145 [8 per cell]
Pt3 0.0000 0.5000 0.0000 [4 per cell]

No. 7
Material: Pm12Sn5Pt2
Method: DFT, PBE
State: optimized geometry

Density of states at the Fermi level: 1.131 states/eV/atom
DFT total energy: -5.22 eV per atom
V: 34.1 A^3/atom
ΔH_f (0 K): -526 meV per atom
M_tot: 0.002 μB per atom

Lattice parameters (Å, degrees): 17.7060 7.6947 9.8410 90.00 104.56 90.00
Space group C2/m (No. 12)
Inequivalent atoms, fractional coordinates:
Pm1 0.0053 0.0000 0.2642 [4 per cell]
Pm2 0.0093 0.5000 0.8278 [4 per cell]
Pm3 0.1494 0.2548 0.5743 [8 per cell]
Pm4 0.1620 0.2433 0.0873 [8 per cell]
Sn1 0.0000 0.5000 0.5000 [2 per cell]
Sn2 0.1865 0.0000 0.8327 [4 per cell]
Sn3 0.1980 0.0000 0.3611 [4 per cell]
Pt1 0.0000 0.1925 0.0000 [4 per cell]

No. 8
Material: Pm5SnPt4
Method: DFT, PBE
State: optimized geometry

Density of states at the Fermi level: 0.729 states/eV/atom
DFT total energy: -6.19 eV per atom
V: 24.1 A^3/atom
ΔH_f (0 K): -999 meV per atom
M_tot: 0.000 μB per atom

Lattice parameters (Å, degrees): 3.5624 3.5624 18.9917 90.00 90.00 90.00
Space group P4/mmm (No. 123)
Inequivalent atoms, fractional coordinates:
Pm1 0.0000 0.0000 0.0000 [1 per cell]
Pm2 0.0000 0.0000 0.1909 [2 per cell]
Pm3 0.0000 0.0000 0.3802 [2 per cell]
Sn1 0.5000 0.5000 0.5000 [1 per cell]
Pt1 0.5000 0.5000 0.0949 [2 per cell]
Pt2 0.5000 0.5000 0.2857 [2 per cell]

No. 9
Material: Pm3Sn4Pt2
Method: DFT, PBE
State: optimized geometry

Density of states at the Fermi level: 0.566 states/eV/atom
DFT total energy: -5.55 eV per atom
V: 25.1 A^3/atom
ΔH_f (0 K): -847 meV per atom
M_tot: 0.000 μB per atom

Lattice parameters (Å, degrees): 11.0575 4.8185 8.9998 90.00 109.66 90.00
Space group C2/m (No. 12)
Inequivalent atoms, fractional coordinates:
Pm1 0.0000 0.0000 0.0000 [2 per cell]
Pm2 0.1365 0.5000 0.6841 [4 per cell]
Sn1 0.0985 0.0000 0.4145 [4 per cell]
Sn2 0.2107 0.5000 0.0667 [4 per cell]
Pt1 0.1547 0.5000 0.3301 [4 per cell]

No. 10
Material: Pm2SnPt
Method: DFT, PBE
State: optimized geometry

Density of states at the Fermi level: 0.402 states/eV/atom
DFT total energy: -5.84 eV per atom
V: 27.1 A^3/atom
ΔH_f (0 K): -951 meV per atom
M_tot: 0.000 μB per atom

Lattice parameters (Å, degrees): 6.2337 4.4256 8.4403 90.00 111.27 90.00
Space group P2_1/m (No. 11)
Inequivalent atoms, fractional coordinates:
Pm1 0.2085 0.2500 0.4461 [2 per cell]
Pm2 0.2281 0.2500 0.9048 [2 per cell]
Sn1 0.3258 0.7500 0.2061 [2 per cell]
Pt1 0.3316 0.7500 0.7036 [2 per cell]

No. 11
Material: PmSnPt4
Method: DFT, PBE
State: optimized geometry

Density of states at the Fermi level: 0.650 states/eV/atom
DFT total energy: -6.06 eV per atom
V: 21.5 A^3/atom
ΔH_f (0 K): -575 meV per atom
M_tot: 0.000 μB per atom

Lattice parameters (Å, degrees): 4.3629 21.0403 5.6253 90.00 90.00 90.00
Space group Cmcm (No. 63)
Inequivalent atoms, fractional coordinates:
Pm1 0.0000 0.1090 0.2500 [4 per cell]
Sn1 0.0000 0.3978 0.2500 [4 per cell]
Pt1 0.0000 0.1740 0.7500 [4 per cell]
Pt2 0.0000 0.2899 0.5079 [8 per cell]
Pt3 0.0000 0.5000 0.0000 [4 per cell]

No. 12
Material: PmSn2Pt
Method: DFT, PBE
State: optimized geometry

Density of states at the Fermi level: 0.661 states/eV/atom
DFT total energy: -5.31 eV per atom
V: 23.1 A^3/atom
ΔH_f (0 K): -613 meV per atom
M_tot: 0.000 μB per atom

Lattice parameters (Å, degrees): 4.5251 4.5251 4.5182 90.00 90.00 90.00
Space group P4/mmm (No. 123)
Inequivalent atoms, fractional coordinates:
Pm1 0.0000 0.0000 0.0000 [1 per cell]
Sn1 0.0000 0.5000 0.5000 [2 per cell]
Pt1 0.5000 0.5000 0.0000 [1 per cell]